Here is TeS after structural relaxation from Alexandria via LeMat-Bulk. Energies are from PBE.

Results
The total magnetization comes out at 0.000 μB per formula unit. As for the total energy: -3.413 eV per atom. The theoretical density comes out at 4.1 g/cm³.

Unit cell a=8.8319 b=3.4533 c=4.2376 alpha=90.00 beta=90.05 gamma=90.00
Last column: nearest neighbours and their distance in Å.
Space group Cm (No. 8)
Inequivalent atoms, fractional coordinates:
Te: 0.0000 0.0000 0.0000 [2 per cell]  2 S 2.47
S: 0.1429 0.0000 0.5003 [2 per cell]  2 Te 2.47